SmDyCdHg after structural relaxation, computed with PBE.

Unit cell a=5.327 b=5.327 c=5.327 alpha=60.00 beta=60.00 gamma=60.00
Fractional positions:
Sm  0.000  0.000  0.000
Dy  0.500  0.500  0.500
Cd  0.750  0.750  0.750
Hg  0.250  0.250  0.250

Calculated values
Fermi-level density of states, states/eV per atom: 1.020
Raw total energy, eV per atom: -3.0257
Total moment, μB/cell: 0.7
ΔE_f, meV/atom: -391